Computed, not measured: crystalline Hf6H5 at its relaxed geometry at the PBE-GGA level of DFT.

## Properties
- crystal system = monoclinic

Lattice parameters (Å, degrees): 5.443 9.782 5.429 90.00 106.40 90.00
Space group C2/m (No. 12)
Symmetry-distinct sites (fractional):
Hf: 0.245 0.000 0.247 x4
Hf: 0.247 0.165 0.745 x8
H: 0.000 0.156 0.000 x4
H: 0.000 0.331 0.500 x4
H: 0.000 0.500 0.000 x2

***

Computed, not measured: crystalline Hf3H2 at its relaxed geometry at the PBE-GGA level of DFT.

## Properties
- crystal system = monoclinic

Lattice parameters (Å, degrees): 10.224 4.673 3.184 90.00 107.88 90.00
Space group C2/m (No. 12)
Symmetry-distinct sites (fractional):
Hf: 0.000 0.000 0.000 x2
Hf: 0.177 0.500 0.677 x4
H: 0.000 0.264 0.500 x4

***

The records above give, respectively, density values of 12.9 12.3 g/cm3.
The records above give, respectively, raw total energy values of -7.188 -7.594 eV per atom.
The records above give, respectively, magnetization values of 0.00 0.00 μB/f.u..